[1]
The following is a PBE calculation of a relaxed VRhPbBr2 crystal, from Alexandria via LeMat-Bulk.

Structure (POSCAR):
```
VRhPbBr2
1.0
5.804 0.000 0.000
0.000 5.568 0.000
0.000 0.000 5.804
Pb Rh Br V
1 1 2 1
Direct
0.000 0.000 0.000 Pb
0.500 0.500 0.500 Rh
0.000 0.000 0.500 Br
0.500 0.000 0.000 Br
0.000 0.500 0.000 V
```

The formation energy (no corrections) comes out at 1.237 eV per atom.

---

[2]
The following is a PBE calculation of a relaxed Na2Cd2Pb crystal, from Alexandria via LeMat-Bulk.

Structure (POSCAR):
```
Na2Cd2Pb
1.0
-2.640 1.551 1.485
-3.051 -1.618 -3.732
0.019 -5.579 5.861
Na Cd Pb
2 2 1
Direct
0.500 0.391 0.781 Na
0.500 0.609 0.219 Na
0.000 0.798 0.596 Cd
0.000 0.202 0.404 Cd
0.000 0.000 0.000 Pb
```

The value obtained for the energy above the most stable polymorph in this dataset is 0.000 eV/atom. Its formation energy is -130 meV/atom.

---

[3]
The following is a PBE calculation of a relaxed PmNd4Cu4 crystal, from Alexandria via LeMat-Bulk.

Structure (POSCAR):
```
PmNd4Cu4
1.0
6.415 0.000 0.000
0.000 8.593 0.000
0.000 0.000 8.593
Pm Nd Cu
2 8 8
Direct
0.000 0.000 0.000 Pm
0.500 0.500 0.500 Pm
0.401 0.296 0.911 Nd
0.901 0.589 0.796 Nd
0.401 0.704 0.089 Nd
0.099 0.204 0.589 Nd
0.599 0.911 0.704 Nd
0.099 0.796 0.411 Nd
0.901 0.411 0.204 Nd
0.599 0.089 0.296 Nd
0.650 0.770 0.375 Cu
0.650 0.230 0.625 Cu
0.150 0.875 0.730 Cu
0.850 0.270 0.875 Cu
0.850 0.730 0.125 Cu
0.350 0.375 0.230 Cu
0.350 0.625 0.770 Cu
0.150 0.125 0.270 Cu
```

Its formation energy is 0 meV/atom.

---

[4]
The following is a PBE calculation of a relaxed Ce5SnRh crystal, from Alexandria via LeMat-Bulk.

Structure (POSCAR):
```
Ce5SnRh
1.0
-4.700 -4.975 -2.213
-0.137 -7.099 1.152
-7.111 -3.166 7.645
Ce Sn Rh
10 2 2
Direct
0.852 0.688 0.128 Ce
0.342 0.381 0.577 Ce
0.688 0.852 0.628 Ce
0.017 0.983 0.250 Ce
0.619 0.658 0.923 Ce
0.381 0.342 0.077 Ce
0.983 0.017 0.750 Ce
0.312 0.148 0.372 Ce
0.658 0.619 0.423 Ce
0.148 0.312 0.872 Ce
0.516 0.484 0.250 Sn
0.484 0.516 0.750 Sn
0.000 0.000 0.000 Rh
0.000 0.000 0.500 Rh
```

Its formation energy is -190 meV/atom.